Version 1
Below is crystalline MgIn2Te at its relaxed geometry, with properties calculated at the PBEsol level.

POSCAR file:
```
MgIn2Te
1.0
-0.573 0.681 3.103
0.749 -5.959 1.446
5.050 2.821 -1.365
In Te Mg
2 1 1
Cartesian
0.467 -0.257 0.143 In
2.658 1.250 1.896 In
2.335 -2.509 0.982 Te
4.904 -0.759 1.072 Mg
```

---

Version 2
Below is crystalline MgIn2Te at its relaxed geometry, with properties calculated at the PBEsol level.

POSCAR file:
```
MgIn2Te
1.0
-0.529 -4.301 0.226
3.993 -0.426 1.241
-3.384 2.854 4.746
In Te Mg
2 1 1
Cartesian
-0.790 0.235 2.623 In
0.871 -2.108 3.590 In
1.996 -0.213 0.621 Te
-0.264 -2.150 0.113 Mg
```

---

Computed relative energies in units of meV/atom: version 1 89; version 2 0

---

Version 1
Below is crystalline MgIn2Te at its relaxed geometry, with properties calculated at the PBEsol level.

POSCAR file:
```
MgIn2Te
1.0
-0.976 -0.004 -5.183
1.845 -3.904 -3.028
-3.325 -3.541 -2.054
In Mg Te
2 1 1
Cartesian
-1.842 -5.586 -7.699 In
0.000 0.000 0.000 In
-1.228 -3.724 -5.133 Mg
-0.614 -1.862 -2.566 Te
```

---

Version 2
Below is crystalline MgIn2Te at its relaxed geometry, with properties calculated at the PBEsol level.

POSCAR file:
```
MgIn2Te
1.0
-3.263 1.231 -1.765
-0.322 -3.449 -1.810
-3.653 -2.345 5.118
In Te Mg
2 1 1
Cartesian
-2.764 -1.774 3.873 In
-0.889 -0.570 1.245 In
-3.619 -2.281 0.772 Te
-1.792 -1.109 -1.787 Mg
```

---

Computed relative energies in units of meV/atom: version 1 57; version 2 0

---

Version 1
Below is crystalline MgInTe at its relaxed geometry, with properties calculated at the PBEsol level.

POSCAR file:
```
MgInTe
1.0
-3.848 -2.834 1.745
0.891 -4.682 1.779
-0.406 -0.948 4.982
Mg In Te
1 1 1
Cartesian
0.000 0.000 0.000 Mg
-0.841 -2.116 2.126 In
-1.682 -4.232 4.253 Te
```

---

Version 2
Below is crystalline MgInTe at its relaxed geometry, with properties calculated at the PBEsol level.

POSCAR file:
```
MgInTe
1.0
-0.117 0.886 3.741
-3.820 0.394 -0.212
1.385 -5.668 -0.592
Mg In Te
1 1 1
Cartesian
-0.367 -3.162 0.737 Mg
-2.551 -4.381 2.935 In
-2.186 -1.235 2.201 Te
```

---

Computed relative energies in units of meV/atom: version 1 261; version 2 0

---

Version 1
Below is crystalline MgZnIn2 at its relaxed geometry, with properties calculated at the PBEsol level.

POSCAR file:
```
MgZnIn2
1.0
-1.052 0.647 3.075
2.126 -0.122 2.539
2.295 9.007 0.675
Mg Zn In
1 1 2
Cartesian
1.643 4.579 3.170 Mg
0.851 2.424 1.567 Zn
1.114 0.710 5.589 In
2.518 7.110 4.722 In
```

---

Version 2
Below is crystalline MgZnIn2 at its relaxed geometry, with properties calculated at the PBEsol level.

POSCAR file:
```
MgZnIn2
1.0
4.381 0.000 0.000
0.000 4.381 0.000
-2.190 -2.190 4.385
Zn In Mg
1 2 1
Cartesian
0.000 0.000 0.000 Zn
0.000 2.190 2.193 In
2.190 0.000 2.193 In
2.190 2.190 0.000 Mg
```

---

Computed relative energies in units of meV/atom: version 1 29; version 2 0

---

Version 1
Below is crystalline MnTl2In at its relaxed geometry, with properties calculated at the PBEsol level.

POSCAR file:
```
MnTl2In
1.0
4.373 0.000 0.000
0.000 4.373 0.000
-2.187 -2.187 4.751
Tl In Mn
2 1 1
Cartesian
2.187 0.000 2.376 Tl
0.000 0.000 0.000 Tl
2.187 2.187 0.000 In
0.000 2.187 2.376 Mn
```

---

Version 2
Below is crystalline MnTl2In at its relaxed geometry, with properties calculated at the PBEsol level.

POSCAR file:
```
MnTl2In
1.0
-3.325 0.725 3.839
-1.424 -3.955 2.941
1.599 -0.284 4.866
In Mn Tl
1 1 2
Cartesian
-1.575 -1.757 5.823 In
-0.788 -0.879 2.912 Mn
0.000 0.000 0.000 Tl
-2.363 -2.636 8.735 Tl
```

---

Computed relative energies in units of meV/atom: version 1 0; version 2 68

---

Version 1
Below is crystalline MnTlIn at its relaxed geometry, with properties calculated at the PBEsol level.

POSCAR file:
```
MnTlIn
1.0
3.227 0.000 0.000
-1.614 2.795 0.000
0.000 0.000 6.977
Tl In Mn
1 1 1
Cartesian
1.614 0.932 2.486 Tl
0.000 0.000 6.782 In
0.000 1.863 4.685 Mn
```

---

Version 2
Below is crystalline MnTlIn at its relaxed geometry, with properties calculated at the PBEsol level.

POSCAR file:
```
MnTlIn
1.0
-1.428 1.338 -2.854
-1.616 -4.220 -1.170
-2.598 2.846 2.634
Mn Tl In
1 1 1
Cartesian
-3.216 1.376 -0.523 Mn
-2.477 -1.364 -0.969 Tl
-1.376 1.290 -2.752 In
```

---

Computed relative energies in units of meV/atom: version 1 0; version 2 51

---

Version 1
Below is crystalline InMo2 at its relaxed geometry, with properties calculated at the PBEsol level.

POSCAR file:
```
InMo2
1.0
-1.781 -2.365 0.707
2.854 0.123 1.050
-2.121 3.209 5.391
In Mo
1 2
Cartesian
0.000 0.000 0.000 In
0.537 0.463 2.900 Mo
-1.584 0.504 4.248 Mo
```

---

Version 2
Below is crystalline InMo2 at its relaxed geometry, with properties calculated at the PBEsol level.

POSCAR file:
```
InMo2
1.0
-3.237 2.752 -1.015
-2.361 -0.644 -3.619
-4.156 -1.309 0.307
Mo In
2 1
Cartesian
-7.316 0.599 -3.245 Mo
-2.439 0.200 -1.082 Mo
0.000 0.000 0.000 In
```

---

Computed relative energies in units of meV/atom: version 1 0; version 2 1097

---

Version 1
Below is crystalline InMo4 at its relaxed geometry, with properties calculated at the PBEsol level.

POSCAR file:
```
InMo4
1.0
4.432 0.000 0.000
2.216 4.284 0.000
2.216 0.000 4.284
Mo In
4 1
Cartesian
6.648 2.666 3.325 Mo
2.216 1.618 0.959 Mo
4.432 0.959 2.666 Mo
4.432 3.325 1.618 Mo
0.000 0.000 0.000 In
```

---

Version 2
Below is crystalline InMo4 at its relaxed geometry, with properties calculated at the PBEsol level.

POSCAR file:
```
InMo4
1.0
4.185 0.000 0.000
0.000 4.185 0.000
-2.092 -2.092 5.337
Mo In
4 1
Cartesian
2.092 0.000 2.668 Mo
0.000 0.000 4.078 Mo
0.000 2.092 2.668 Mo
2.092 2.092 1.259 Mo
0.000 0.000 0.000 In
```

---

Computed relative energies in units of meV/atom: version 1 0; version 2 378

---

Version 1
Below is crystalline InMo3N at its relaxed geometry, with properties calculated at the PBEsol level.

POSCAR file:
```
InMo3N
1.0
-1.118 0.040 -4.684
-4.536 -1.208 1.073
-1.166 4.661 0.319
Mo N In
3 1 1
Cartesian
-2.268 -0.604 0.536 Mo
-0.583 2.331 0.159 Mo
-0.559 0.020 -2.342 Mo
-3.410 1.747 -1.646 N
0.000 0.000 0.000 In
```

---

Version 2
Below is crystalline InMo3N at its relaxed geometry, with properties calculated at the PBEsol level.

POSCAR file:
```
InMo3N
1.0
-0.720 -0.228 4.065
3.673 -1.817 0.549
1.756 3.707 0.519
Mo N In
3 1 1
Cartesian
0.878 1.854 0.259 Mo
1.837 -0.908 0.275 Mo
-0.360 -0.114 2.032 Mo
0.000 0.000 0.000 N
2.354 0.831 2.566 In
```

---

Computed relative energies in units of meV/atom: version 1 3955; version 2 0

---

Version 1
Below is crystalline InMo2P at its relaxed geometry, with properties calculated at the PBEsol level.

POSCAR file:
```
InMo2P
1.0
-0.894 -2.992 0.150
2.941 -0.807 1.427
-3.562 2.950 5.037
In P Mo
1 1 2
Cartesian
-1.461 -1.076 2.401 In
-2.317 0.959 5.316 P
-0.085 0.035 0.195 Mo
-0.192 0.284 4.527 Mo
```

---

Version 2
Below is crystalline InMo2P at its relaxed geometry, with properties calculated at the PBEsol level.

POSCAR file:
```
InMo2P
1.0
-1.022 -1.813 -2.288
-0.412 -2.595 2.240
-5.290 2.416 1.827
Mo In P
2 1 1
Cartesian
-1.964 -1.086 -1.619 Mo
-4.348 1.689 1.158 Mo
-3.362 -0.996 0.889 In
-0.717 -2.204 -0.024 P
```

---

Computed relative energies in units of meV/atom: version 1 0; version 2 54

---

Version 1
Below is crystalline In2ReMo at its relaxed geometry, with properties calculated at the PBEsol level.

POSCAR file:
```
In2ReMo
1.0
-1.156 0.286 -2.639
-1.908 -3.841 0.420
-4.472 2.464 2.226
In Re Mo
2 1 1
Cartesian
-1.122 0.619 0.559 In
-3.349 1.846 1.667 In
-3.768 -0.546 0.004 Re
-1.532 -1.778 -1.109 Mo
```

---

Version 2
Below is crystalline In2ReMo at its relaxed geometry, with properties calculated at the PBEsol level.

POSCAR file:
```
In2ReMo
1.0
4.588 0.000 0.000
2.294 3.973 0.000
2.294 1.324 3.746
In Re Mo
2 1 1
Cartesian
2.294 1.324 0.937 In
6.882 3.973 2.810 In
4.588 2.649 1.873 Re
0.000 0.000 0.000 Mo
```

---

Computed relative energies in units of meV/atom: version 1 0; version 2 16

---

Version 1
Below is crystalline In2ReMo at its relaxed geometry, with properties calculated at the PBEsol level.

POSCAR file:
```
In2ReMo
1.0
-1.185 2.695 -0.049
-0.600 1.297 -2.574
-9.068 -2.392 -0.776
In Re Mo
2 1 1
Cartesian
-8.161 1.191 -2.549 In
-2.692 0.409 -0.850 In
0.000 0.000 0.000 Re
-5.426 0.800 -1.700 Mo
```

---

Version 2
Below is crystalline In2ReMo at its relaxed geometry, with properties calculated at the PBEsol level.

POSCAR file:
```
In2ReMo
1.0
-0.417 -0.866 2.682
0.728 -2.203 -1.654
8.822 1.518 1.863
Mo Re In
1 1 2
Cartesian
4.566 -0.776 1.445 Mo
0.155 -1.535 0.514 Re
6.625 1.140 1.399 In
2.197 0.378 0.464 In
```

---

Version 3
Below is crystalline In2ReMo at its relaxed geometry, with properties calculated at the PBEsol level.

POSCAR file:
```
In2ReMo
1.0
-0.700 1.157 2.908
-0.167 -4.384 1.704
4.933 1.829 -1.310
In Mo Re
2 1 1
Cartesian
1.787 -1.507 2.798 In
2.279 0.109 0.505 In
-0.350 0.579 1.454 Mo
-0.083 -2.192 0.852 Re
```

---

Version 4
Below is crystalline In2ReMo at its relaxed geometry, with properties calculated at the PBEsol level.

POSCAR file:
```
In2ReMo
1.0
-0.644 -2.822 -2.756
2.208 -2.572 2.117
-3.558 -1.286 2.148
In Re Mo
2 1 1
Cartesian
1.104 -1.286 1.059 In
-0.322 -1.411 -1.378 In
-1.779 -0.643 1.074 Re
-0.997 -3.340 0.754 Mo
```

---

Computed relative energies in units of meV/atom: version 1 0; version 2 39; version 3 26; version 4 98